[1]
# La3Pr2NdTe6 | Alexandria | PBE-GGA | relaxed
data_La3Pr2NdTe6
_chemical_formula_sum 'La3 Pr2 Nd1 Te6'
_space_group_name_H-M_alt 'P 1'
_space_group_IT_number 1
_cell_length_a 10.153
_cell_length_b 10.153
_cell_length_c 9.120
_cell_angle_alpha 102.58
_cell_angle_beta 102.58
_cell_angle_gamma 25.87
loop_
_space_group_symop_operation_xyz
'x,y,z'
loop_
_atom_site_label
_atom_site_fract_x
_atom_site_fract_y
_atom_site_fract_z
La1 0.000 0.000 0.000
La2 0.333 0.333 0.667
La3 0.667 0.667 0.333
Pr1 0.333 0.333 0.167
Pr2 0.667 0.667 0.833
Nd1 0.000 0.000 0.500
Te1 0.165 0.165 0.584
Te2 0.167 0.167 0.082
Te3 0.500 0.500 0.253
Te4 0.500 0.500 0.747
Te5 0.833 0.833 0.918
Te6 0.835 0.835 0.416
# - Volume: 33.3 Å³/atom
# - Formation energy (no corrections): -1520 meV per atom
# - Space-group type: C2/m
# - Raw total energy: -5.52 eV per atom
# - Total moment: 0.00 μB per formula unit

***

[2]
# LaPr3Nd3Te8 | Alexandria | PBE-GGA | relaxed
data_LaPr3Nd3Te8
_chemical_formula_sum 'La1 Pr3 Nd3 Te8'
_space_group_name_H-M_alt 'P 1'
_space_group_IT_number 1
_cell_length_a 9.012
_cell_length_b 9.012
_cell_length_c 9.012
_cell_angle_alpha 59.95
_cell_angle_beta 59.95
_cell_angle_gamma 59.95
loop_
_space_group_symop_operation_xyz
'x,y,z'
loop_
_atom_site_label
_atom_site_fract_x
_atom_site_fract_y
_atom_site_fract_z
La1 0.000 0.000 0.000
Pr1 0.000 0.000 0.500
Pr2 0.000 0.500 0.000
Pr3 0.500 0.000 0.000
Nd1 0.000 0.500 0.500
Nd2 0.500 0.000 0.500
Nd3 0.500 0.500 0.000
Te1 0.251 0.251 0.251
Te2 0.257 0.257 0.741
Te3 0.257 0.741 0.257
Te4 0.259 0.743 0.743
Te5 0.741 0.257 0.257
Te6 0.743 0.259 0.743
Te7 0.743 0.743 0.259
Te8 0.749 0.749 0.749
# - Volume: 34.5 Å³/atom
# - Formation energy (no corrections): -1480 meV per atom
# - Space-group type: R-3m
# - Raw total energy: -5.39 eV per atom
# - Total moment: 0.00 μB per formula unit

***

What did the second record say?
# LaPr3Nd3Te8 | Alexandria | PBE-GGA | relaxed
data_LaPr3Nd3Te8
_chemical_formula_sum 'La1 Pr3 Nd3 Te8'
_space_group_name_H-M_alt 'P 1'
_space_group_IT_number 1
_cell_length_a 9.012
_cell_length_b 9.012
_cell_length_c 9.012
_cell_angle_alpha 59.95
_cell_angle_beta 59.95
_cell_angle_gamma 59.95
loop_
_space_group_symop_operation_xyz
'x,y,z'
loop_
_atom_site_label
_atom_site_fract_x
_atom_site_fract_y
_atom_site_fract_z
La1 0.000 0.000 0.000
Pr1 0.000 0.000 0.500
Pr2 0.000 0.500 0.000
Pr3 0.500 0.000 0.000
Nd1 0.000 0.500 0.500
Nd2 0.500 0.000 0.500
Nd3 0.500 0.500 0.000
Te1 0.251 0.251 0.251
Te2 0.257 0.257 0.741
Te3 0.257 0.741 0.257
Te4 0.259 0.743 0.743
Te5 0.741 0.257 0.257
Te6 0.743 0.259 0.743
Te7 0.743 0.743 0.259
Te8 0.749 0.749 0.749
# - Volume: 34.5 Å³/atom
# - Formation energy (no corrections): -1480 meV per atom
# - Space-group type: R-3m
# - Raw total energy: -5.39 eV per atom
# - Total moment: 0.00 μB per formula unit